# CoCuAu

A relaxed structure of CoCuAu (GGA-PBE, the Alexandria database).

Unit cell a=2.7456 b=2.7456 c=11.0474 alpha=90.00 beta=90.00 gamma=90.00
Space group I4mm (No. 107)
Asymmetric unit:
Co 0.0000 0.0000 0.0000 (multiplicity 2)
Cu 0.0000 0.0000 0.3539 (multiplicity 2)
Au 0.0000 0.0000 0.6754 (multiplicity 2)

The final energy is -4.64 eV per atom. The calculation puts the energy relative to the elements at 188 meV per atom. As for the excess energy over the best structure of this formula in the dataset: 0 meV/atom.